No. 1
# PBE AcNpTc, relaxed
data_AcNpTc
_cell_length_a 6.3902
_cell_length_b 6.3902
_cell_length_c 7.5369
_cell_angle_alpha 119.18
_cell_angle_beta 119.18
_cell_angle_gamma 37.75
_space_group_name_H-M_alt 'P 1'
_space_group_IT_number 1
_space_group_name_Hall 'P 1'
loop_
_atom_site_label
_atom_site_fract_x
_atom_site_fract_y
_atom_site_fract_z
_atom_site_occupancy
Ac1 0.0907 0.0907 0.3068 1
Ac2 0.9093 0.9093 0.6932 1
Np1 0.2359 0.2359 0.8944 1
Np2 0.7641 0.7641 0.1056 1
Tc1 0.3781 0.3781 0.3319 1
Tc2 0.6219 0.6219 0.6681 1
# Total DFT energy (no corrections), eV/cell: -53.37
# Formation energy from the elements, eV per formula unit: 0.7
# D(E_F), states/eV per atom: 1.6659

---

No. 2
# PBE CaPbOF2, relaxed
data_CaPbOF2
_cell_length_a 4.2654
_cell_length_b 4.2654
_cell_length_c 4.7628
_cell_angle_alpha 90.00
_cell_angle_beta 90.00
_cell_angle_gamma 90.00
_space_group_name_H-M_alt 'P 1'
_space_group_IT_number 1
_space_group_name_Hall 'P 1'
loop_
_atom_site_label
_atom_site_fract_x
_atom_site_fract_y
_atom_site_fract_z
_atom_site_occupancy
Ca1 0.0000 0.0000 0.0000 1
Pb1 0.5000 0.5000 0.5000 1
O1 0.0000 0.0000 0.5000 1
F1 0.0000 0.5000 0.0000 1
F2 0.5000 0.0000 0.0000 1
# ΔE_f (raw), eV per atom: -2.397
# Total DFT energy (no corrections), eV/cell: -26.40
# D(E_F), states/eV per atom: 0.0000
# E above lowest polymorph, eV per atom: 0.000

---

No. 3
# PBE Zn2PtPb, relaxed
data_Zn2PtPb
_cell_length_a 9.3678
_cell_length_b 9.3678
_cell_length_c 9.3678
_cell_angle_alpha 19.44
_cell_angle_beta 19.44
_cell_angle_gamma 19.44
_space_group_name_H-M_alt 'P 1'
_space_group_IT_number 1
_space_group_name_Hall 'P 1'
loop_
_atom_site_label
_atom_site_fract_x
_atom_site_fract_y
_atom_site_fract_z
_atom_site_occupancy
Zn1 0.2342 0.2342 0.2342 1
Zn2 0.7658 0.7658 0.7658 1
Pt1 0.5000 0.5000 0.5000 1
Pb1 0.0000 0.0000 0.0000 1
# Total DFT energy (no corrections), eV/cell: -12.44
# Formation energy from the elements, eV per formula unit: -0.1
# D(E_F), states/eV per atom: 0.3152

---

No. 4
# PBE PrH3Ir, relaxed
data_PrH3Ir
_cell_length_a 3.7779
_cell_length_b 3.7779
_cell_length_c 3.7779
_cell_angle_alpha 90.00
_cell_angle_beta 90.00
_cell_angle_gamma 90.00
_space_group_name_H-M_alt 'P 1'
_space_group_IT_number 1
_space_group_name_Hall 'P 1'
loop_
_atom_site_label
_atom_site_fract_x
_atom_site_fract_y
_atom_site_fract_z
_atom_site_occupancy
Pr1 0.0000 0.0000 0.0000 1
H1 0.0000 0.5000 0.5000 1
H2 0.5000 0.0000 0.5000 1
H3 0.5000 0.5000 0.0000 1
Ir1 0.5000 0.5000 0.5000 1
# Total DFT energy (no corrections), eV/cell: -26.10
# D(E_F), states/eV per atom: 0.1440

---

No. 5
# PBE AgPtF2, relaxed
data_AgPtF2
_cell_length_a 5.4182
_cell_length_b 5.4182
_cell_length_c 5.4182
_cell_angle_alpha 105.67
_cell_angle_beta 105.67
_cell_angle_gamma 117.38
_space_group_name_H-M_alt 'P 1'
_space_group_IT_number 1
_space_group_name_Hall 'P 1'
loop_
_atom_site_label
_atom_site_fract_x
_atom_site_fract_y
_atom_site_fract_z
_atom_site_occupancy
Ag1 0.0000 0.0000 0.0000 1
Ag2 0.7500 0.2500 0.5000 1
Pt1 0.2500 0.7500 0.5000 1
Pt2 0.5000 0.5000 0.0000 1
F1 0.1608 0.6250 0.0358 1
F2 0.3750 0.4108 0.5358 1
F3 0.5892 0.1250 0.9642 1
F4 0.8750 0.8392 0.4642 1
# ΔE_f (raw), eV per atom: -0.323
# Total DFT energy (no corrections), eV/cell: -27.86
# D(E_F), states/eV per atom: 0.5202
# E above lowest polymorph, eV per atom: 0.459

---

No. 6
# PBE PmHoZnCu, relaxed
data_PmHoZnCu
_cell_length_a 3.5467
_cell_length_b 3.5467
_cell_length_c 7.1637
_cell_angle_alpha 90.00
_cell_angle_beta 90.00
_cell_angle_gamma 90.00
_space_group_name_H-M_alt 'P 1'
_space_group_IT_number 1
_space_group_name_Hall 'P 1'
loop_
_atom_site_label
_atom_site_fract_x
_atom_site_fract_y
_atom_site_fract_z
_atom_site_occupancy
Pm1 0.0000 0.0000 0.0000 1
Ho1 0.0000 0.0000 0.4874 1
Zn1 0.5000 0.5000 0.7311 1
Cu1 0.5000 0.5000 0.2666 1
# Total DFT energy (no corrections), eV/cell: -15.77
# Formation energy from the elements, eV per formula unit: -1.1
# D(E_F), states/eV per atom: 0.9024
# E above lowest polymorph, eV per atom: 0.000